The following is a GGA-PBE calculation of a relaxed structure of CrPb2W, from the Alexandria database.

Properties
Formation energy from the elements, eV per atom: 0.99
Total magnetic moment, μB per formula unit: 2.54

Geometry as CIF:
```
data_CrPb2W
_space_group_name_H-M_alt 'F m -3 m'
_space_group_IT_number 225
_space_group_name_Hall '-F 4 2 3'
_cell_length_a 6.892
_cell_length_b 6.892
_cell_length_c 6.892
_cell_angle_alpha 90.00
_cell_angle_beta 90.00
_cell_angle_gamma 90.00
loop_
_atom_site_label
_atom_site_type_symbol
_atom_site_fract_x
_atom_site_fract_y
_atom_site_fract_z
Cr1 Cr 0.000 0.000 0.000
Pb1 Pb 0.250 0.250 0.250
W1 W 0.000 0.000 0.500
```


The following is a GGA-PBE calculation of a relaxed structure of CrPb2W, from the Alexandria database.

Properties
Formation energy from the elements, eV per atom: 0.99
Total magnetic moment, μB per formula unit: 3.54

Geometry as CIF:
```
data_CrPb2W
_space_group_name_H-M_alt 'C 1 2/m 1'
_space_group_IT_number 12
_cell_length_a 9.452
_cell_length_b 3.138
_cell_length_c 5.743
_cell_angle_alpha 90.00
_cell_angle_beta 99.78
_cell_angle_gamma 90.00
loop_
_space_group_symop_operation_xyz
'x,y,z'
'-x,-y,-z'
'-x,y,-z'
'x,-y,z'
'x+1/2,y+1/2,z'
'-x+1/2,-y+1/2,-z'
'-x+1/2,y+1/2,-z'
'x+1/2,-y+1/2,z'
loop_
_atom_site_label
_atom_site_type_symbol
_atom_site_fract_x
_atom_site_fract_y
_atom_site_fract_z
Cr1 Cr 0.000 0.000 0.000
Pb1 Pb 0.248 0.000 0.746
W1 W 0.000 0.500 0.500
```


The following is a GGA-PBE calculation of a relaxed structure of CrPbW2, from the Alexandria database.

Properties
Formation energy from the elements, eV per atom: 0.71
Total magnetic moment, μB per formula unit: 0.00

Geometry as CIF:
```
data_CrPbW2
_space_group_name_H-M_alt 'P 4/m m m'
_space_group_IT_number 123
_space_group_name_Hall '-P 4 2'
_cell_length_a 2.994
_cell_length_b 2.994
_cell_length_c 7.827
_cell_angle_alpha 90.00
_cell_angle_beta 90.00
_cell_angle_gamma 90.00
loop_
_atom_site_label
_atom_site_type_symbol
_atom_site_fract_x
_atom_site_fract_y
_atom_site_fract_z
Cr1 Cr 0.000 0.000 0.000
Pb1 Pb 0.000 0.000 0.500
W1 W 0.500 0.500 0.192
```


The following is a GGA-PBE calculation of a relaxed structure of CrPbW2, from the Alexandria database.

Properties
Formation energy from the elements, eV per atom: 0.85
Total magnetic moment, μB per formula unit: 0.00

Geometry as CIF:
```
data_CrPbW2
_space_group_name_H-M_alt 'R -3 m'
_space_group_IT_number 166
_space_group_name_Hall '-R 3 2"'
_cell_length_a 3.0314
_cell_length_b 3.0314
_cell_length_c 26.8895
_cell_angle_alpha 90.00
_cell_angle_beta 90.00
_cell_angle_gamma 120.00
loop_
_atom_site_label
_atom_site_type_symbol
_atom_site_fract_x
_atom_site_fract_y
_atom_site_fract_z
Cr1 Cr 0.0000 0.0000 0.0000
Pb1 Pb 0.0000 0.0000 0.5000
W1 W 0.0000 0.0000 0.2653
```


The following is a GGA-PBE calculation of a relaxed structure of CrPbW2, from the Alexandria database.

Properties
Formation energy from the elements, eV per atom: 1.17
Total magnetic moment, μB per formula unit: 2.84

Geometry as CIF:
```
data_CrPbW2
_space_group_name_H-M_alt 'I -4 2 d'
_space_group_IT_number 122
_space_group_name_Hall 'I -4 2bw'
_cell_length_a 3.871
_cell_length_b 3.871
_cell_length_c 20.157
_cell_angle_alpha 90.00
_cell_angle_beta 90.00
_cell_angle_gamma 90.00
loop_
_atom_site_label
_atom_site_type_symbol
_atom_site_fract_x
_atom_site_fract_y
_atom_site_fract_z
Cr1 Cr 0.000 0.000 0.000
Pb1 Pb 0.000 0.000 0.500
W1 W 0.230 0.250 0.125
```


The following is a GGA-PBE calculation of a relaxed structure of CrPb3W, from the Alexandria database.

Properties
Formation energy from the elements, eV per atom: 1.43
Total magnetic moment, μB per formula unit: 6.17

Geometry as CIF:
```
data_CrPb3W
_space_group_name_H-M_alt 'P m -3 m'
_space_group_IT_number 221
_space_group_name_Hall '-P 4 2 3'
_cell_length_a 5.185
_cell_length_b 5.185
_cell_length_c 5.185
_cell_angle_alpha 90.00
_cell_angle_beta 90.00
_cell_angle_gamma 90.00
loop_
_atom_site_label
_atom_site_type_symbol
_atom_site_fract_x
_atom_site_fract_y
_atom_site_fract_z
Cr1 Cr 0.000 0.000 0.000
Pb1 Pb 0.000 0.000 0.500
W1 W 0.500 0.500 0.500
```


The following is a GGA-PBE calculation of a relaxed structure of CrPbW2, from the Alexandria database.

Properties
Formation energy from the elements, eV per atom: 0.70
Total magnetic moment, μB per formula unit: 1.78

Geometry as CIF:
```
data_CrPbW2
_space_group_name_H-M_alt 'C m m 2'
_space_group_IT_number 35
_cell_length_a 3.289
_cell_length_b 4.822
_cell_length_c 8.918
_cell_angle_alpha 90.00
_cell_angle_beta 90.00
_cell_angle_gamma 90.00
loop_
_space_group_symop_operation_xyz
'x,y,z'
'-x,-y,z'
'-x,y,z'
'x,-y,z'
'x+1/2,y+1/2,z'
'-x+1/2,-y+1/2,z'
'-x+1/2,y+1/2,z'
'x+1/2,-y+1/2,z'
loop_
_atom_site_label
_atom_site_type_symbol
_atom_site_fract_x
_atom_site_fract_y
_atom_site_fract_z
Cr1 Cr 0.000 0.000 0.000
Pb1 Pb 0.000 0.500 0.265
W1 W 0.000 0.000 0.547
W2 W 0.000 0.500 0.783
```


The following is a GGA-PBE calculation of a relaxed structure of CrPbW2, from the Alexandria database.

Properties
Formation energy from the elements, eV per atom: 0.82
Total magnetic moment, μB per formula unit: 2.35

Geometry as CIF:
```
data_CrPbW2
_space_group_name_H-M_alt 'I -4 m 2'
_space_group_IT_number 119
_space_group_name_Hall 'I -4 -2'
_cell_length_a 4.230
_cell_length_b 4.230
_cell_length_c 7.666
_cell_angle_alpha 90.00
_cell_angle_beta 90.00
_cell_angle_gamma 90.00
loop_
_atom_site_label
_atom_site_type_symbol
_atom_site_fract_x
_atom_site_fract_y
_atom_site_fract_z
Cr1 Cr 0.000 0.000 0.000
Pb1 Pb 0.000 0.500 0.750
W1 W 0.000 0.000 0.500
W2 W 0.000 0.500 0.250
```


The following is a GGA-PBE calculation of a relaxed structure of CrPbW2, from the Alexandria database.

Properties
Formation energy from the elements, eV per atom: 0.69
Total magnetic moment, μB per formula unit: 1.11

Geometry as CIF:
```
data_CrPbW2
_space_group_name_H-M_alt 'I m m m'
_space_group_IT_number 71
_space_group_name_Hall '-I 2 2'
_cell_length_a 3.250
_cell_length_b 4.482
_cell_length_c 9.191
_cell_angle_alpha 90.00
_cell_angle_beta 90.00
_cell_angle_gamma 90.00
loop_
_atom_site_label
_atom_site_type_symbol
_atom_site_fract_x
_atom_site_fract_y
_atom_site_fract_z
Cr1 Cr 0.000 0.000 0.000
Pb1 Pb 0.000 0.000 0.500
W1 W 0.000 0.500 0.264
```


The following is a GGA-PBE calculation of a relaxed structure of CrPb2W, from the Alexandria database.

Properties
Formation energy from the elements, eV per atom: 1.05
Total magnetic moment, μB per formula unit: 2.47

Geometry as CIF:
```
data_CrPb2W
_space_group_name_H-M_alt 'P m m m'
_space_group_IT_number 47
_cell_length_a 3.499
_cell_length_b 4.543
_cell_length_c 5.287
_cell_angle_alpha 90.00
_cell_angle_beta 90.00
_cell_angle_gamma 90.00
loop_
_space_group_symop_operation_xyz
'x,y,z'
'-x,-y,-z'
'-x,-y,z'
'x,y,-z'
'x,-y,-z'
'-x,y,z'
'-x,y,-z'
'x,-y,z'
loop_
_atom_site_label
_atom_site_type_symbol
_atom_site_fract_x
_atom_site_fract_y
_atom_site_fract_z
Cr1 Cr 0.000 0.000 0.000
Pb1 Pb 0.000 0.500 0.500
Pb2 Pb 0.500 0.500 0.000
W1 W 0.500 0.000 0.500
```


The following is a GGA-PBE calculation of a relaxed structure of CrPb2W, from the Alexandria database.

Properties
Formation energy from the elements, eV per atom: 1.01
Total magnetic moment, μB per formula unit: 3.29

Geometry as CIF:
```
data_CrPb2W
_space_group_name_H-M_alt 'C m m m'
_space_group_IT_number 65
_space_group_name_Hall '-C 2 2'
_cell_length_a 6.697
_cell_length_b 6.720
_cell_length_c 3.614
_cell_angle_alpha 90.00
_cell_angle_beta 90.00
_cell_angle_gamma 90.00
loop_
_atom_site_label
_atom_site_type_symbol
_atom_site_fract_x
_atom_site_fract_y
_atom_site_fract_z
Cr1 Cr 0.000 0.000 0.000
Pb1 Pb 0.250 0.250 0.500
W1 W 0.000 0.500 0.000
```


The following is a GGA-PBE calculation of a relaxed structure of CrPbW2, from the Alexandria database.

Properties
Formation energy from the elements, eV per atom: 1.00
Total magnetic moment, μB per formula unit: 0.47

Geometry as CIF:
```
data_CrPbW2
_space_group_name_H-M_alt 'C m m m'
_space_group_IT_number 65
_space_group_name_Hall '-C 2 2'
_cell_length_a 5.517
_cell_length_b 7.900
_cell_length_c 3.120
_cell_angle_alpha 90.00
_cell_angle_beta 90.00
_cell_angle_gamma 90.00
loop_
_atom_site_label
_atom_site_type_symbol
_atom_site_fract_x
_atom_site_fract_y
_atom_site_fract_z
Cr1 Cr 0.000 0.000 0.000
Pb1 Pb 0.000 0.500 0.000
W1 W 0.250 0.250 0.500
```


The following is a GGA-PBE calculation of a relaxed structure of CrPbW3, from the Alexandria database.

Properties
Formation energy from the elements, eV per atom: 3.62
Total magnetic moment, μB per formula unit: 1.05

Geometry as CIF:
```
data_CrPbW3
_space_group_name_H-M_alt 'P m -3 m'
_space_group_IT_number 221
_space_group_name_Hall '-P 4 2 3'
_cell_length_a 4.935
_cell_length_b 4.935
_cell_length_c 4.935
_cell_angle_alpha 90.00
_cell_angle_beta 90.00
_cell_angle_gamma 90.00
loop_
_atom_site_label
_atom_site_type_symbol
_atom_site_fract_x
_atom_site_fract_y
_atom_site_fract_z
Cr1 Cr 0.000 0.000 0.000
Pb1 Pb 0.500 0.500 0.500
W1 W 0.000 0.500 0.500
```


The following is a GGA-PBE calculation of a relaxed structure of Cr3PbW, from the Alexandria database.

Properties
Formation energy from the elements, eV per atom: 1.36
Total magnetic moment, μB per formula unit: 8.20

Geometry as CIF:
```
data_Cr3PbW
_space_group_name_H-M_alt 'P m -3 m'
_space_group_IT_number 221
_space_group_name_Hall '-P 4 2 3'
_cell_length_a 4.767
_cell_length_b 4.767
_cell_length_c 4.767
_cell_angle_alpha 90.00
_cell_angle_beta 90.00
_cell_angle_gamma 90.00
loop_
_atom_site_label
_atom_site_type_symbol
_atom_site_fract_x
_atom_site_fract_y
_atom_site_fract_z
Cr1 Cr 0.000 0.000 0.500
Pb1 Pb 0.500 0.500 0.500
W1 W 0.000 0.000 0.000
```


The following is a GGA-PBE calculation of a relaxed structure of CrPb2W, from the Alexandria database.

Properties
Formation energy from the elements, eV per atom: 0.81
Total magnetic moment, μB per formula unit: 0.48

Geometry as CIF:
```
data_CrPb2W
_space_group_name_H-M_alt 'C 1 m 1'
_space_group_IT_number 8
_cell_length_a 10.512
_cell_length_b 3.192
_cell_length_c 5.439
_cell_angle_alpha 90.00
_cell_angle_beta 111.68
_cell_angle_gamma 90.00
loop_
_space_group_symop_operation_xyz
'x,y,z'
'x,-y,z'
'x+1/2,y+1/2,z'
'x+1/2,-y+1/2,z'
loop_
_atom_site_label
_atom_site_type_symbol
_atom_site_fract_x
_atom_site_fract_y
_atom_site_fract_z
Cr1 Cr 0.000 0.000 0.000
Pb1 Pb 0.066 0.500 0.540
Pb2 Pb 0.271 0.500 0.172
W1 W 0.344 0.000 0.734
```